(1)
{
  "formula": "Na2Ca2H",
  "functional": "SCAN",
  "state": "PBEsol geometry",
  "de_polymorph_mev_per_atom": 342,
  "magnetic_moment_mub_per_fu": 0.33,
  "lattice_angstrom": [[-1.955, 1.955, 9.633], [1.955, -1.955, 9.633], [1.955, 1.955, -9.633]],
  "species": ["Na", "Na", "Ca", "Ca", "H"],
  "fractional_positions": [[0.250, 0.750, 0.500], [0.750, 0.250, 0.500], [0.087, 0.087, 0.000], [0.913, 0.913, 0.000], [0.500, 0.500, 0.000]]
}

---

(2)
{
  "formula": "LaSiNi",
  "functional": "SCAN",
  "state": "PBEsol geometry",
  "magnetic_moment_mub_per_fu": 0.00,
  "energy_ry_per_atom": -1.750,
  "lattice_angstrom": [[4.001, 0.000, 0.000], [-2.000, 3.465, 0.000], [0.000, 0.000, 4.295]],
  "species": ["La", "Si", "Ni"],
  "fractional_positions": [[0.000, 0.000, 0.000], [0.667, 0.333, 0.500], [0.333, 0.667, 0.500]]
}

---

(3)
{
  "formula": "FeAgPt2",
  "functional": "SCAN",
  "state": "PBEsol geometry",
  "magnetic_moment_mub_per_fu": 3.80,
  "e_form_mev_per_atom": -256.0,
  "lattice_angstrom": [[2.751, 0.000, 0.000], [0.000, 2.751, 0.000], [0.000, 0.000, 7.664]],
  "species": ["Fe", "Ag", "Pt", "Pt"],
  "fractional_positions": [[0.000, 0.000, 0.000], [0.000, 0.000, 0.500], [0.500, 0.500, 0.226], [0.500, 0.500, 0.774]]
}